# 1
RuS2ClO8 | PBE-GGA | optimized geometry

* E_tot: -5.769 eV per atom
* uncorrected formation energy: -0.848 eV/atom

abc: 8.1115 5.2331 9.4199
angles: 90.00 110.03 90.00
Space group C2/m (No. 12)
Symmetry-distinct sites (fractional):
Ru 0.0000 0.0000 0.0000 [2 per cell]
S 0.0750 0.5000 0.8229 [4 per cell]
Cl 0.0000 0.0000 0.5000 [2 per cell]
O 0.0309 0.2681 0.1607 [8 per cell]
O 0.0999 0.5000 0.6803 [4 per cell]
O 0.2412 0.5000 0.9621 [4 per cell]



# 2
RuSCl2O | PBE-GGA | optimized geometry

* energy relative to the lowest polymorph listed for this composition: 0 meV/atom
* E_tot: -3.690 eV per atom
* uncorrected formation energy: 0.721 eV/atom

abc: 4.7658 4.7658 4.4185
angles: 90.00 90.00 90.00
Space group P4/mmm (No. 123)
Symmetry-distinct sites (fractional):
Ru 0.0000 0.0000 0.0000 [1 per cell]
S 0.0000 0.0000 0.5000 [1 per cell]
Cl 0.0000 0.5000 0.0000 [2 per cell]
O 0.5000 0.5000 0.5000 [1 per cell]



# 3
RuSCl2O | PBE-GGA | optimized geometry

* energy relative to the lowest polymorph listed for this composition: 66 meV/atom
* E_tot: -3.624 eV per atom
* uncorrected formation energy: 0.787 eV/atom

abc: 5.4254 5.4254 3.5366
angles: 90.00 90.00 90.00
Space group P4/mmm (No. 123)
Symmetry-distinct sites (fractional):
Ru 0.0000 0.0000 0.0000 [1 per cell]
S 0.5000 0.5000 0.0000 [1 per cell]
Cl 0.0000 0.5000 0.5000 [2 per cell]
O 0.0000 0.0000 0.5000 [1 per cell]



# 4
SmRuClO4 | PBE-GGA | optimized geometry

* E_tot: -6.789 eV per atom
* uncorrected formation energy: -1.693 eV/atom

abc: 10.4403 7.3400 6.9860
angles: 90.00 105.31 90.00
Space group C2/m (No. 12)
Symmetry-distinct sites (fractional):
Sm 0.2198 0.0000 0.1066 [4 per cell]
Ru 0.1367 0.5000 0.2774 [4 per cell]
Cl 0.0110 0.0000 0.7655 [4 per cell]
O 0.0373 0.5000 0.7704 [4 per cell]
O 0.1962 0.3212 0.1384 [8 per cell]
O 0.2172 0.5000 0.5321 [4 per cell]



# 5
SnRuCl2O | PBE-GGA | optimized geometry

* E_tot: -3.402 eV per atom
* uncorrected formation energy: 0.985 eV/atom

abc: 5.2750 5.2750 5.3292
angles: 90.00 90.00 90.00
Space group P4/mmm (No. 123)
Symmetry-distinct sites (fractional):
Sn 0.0000 0.0000 0.0000 [1 per cell]
Ru 0.0000 0.0000 0.5000 [1 per cell]
Cl 0.0000 0.5000 0.0000 [2 per cell]
O 0.5000 0.5000 0.5000 [1 per cell]



# 6
SrRuClO4 | PBE-GGA | optimized geometry

* E_tot: -6.087 eV per atom
* uncorrected formation energy: -1.424 eV/atom

abc: 10.6739 7.8991 7.3284
angles: 90.00 105.14 90.00
Space group C2/m (No. 12)
Symmetry-distinct sites (fractional):
Sr 0.2090 0.0000 0.1231 [4 per cell]
Ru 0.1343 0.5000 0.2629 [4 per cell]
Cl 0.0246 0.0000 0.7623 [4 per cell]
O 0.0346 0.5000 0.7856 [4 per cell]
O 0.1842 0.3237 0.1520 [8 per cell]
O 0.2032 0.5000 0.5055 [4 per cell]



# 7
TlRuClO4 | PBE-GGA | optimized geometry

* E_tot: -5.479 eV per atom
* uncorrected formation energy: -0.719 eV/atom

abc: 12.0593 7.9328 7.1403
angles: 90.00 101.18 90.00
Space group C2/m (No. 12)
Symmetry-distinct sites (fractional):
Tl 0.1731 0.0000 0.0289 [4 per cell]
Ru 0.1440 0.5000 0.2826 [4 per cell]
Cl 0.0241 0.0000 0.2612 [4 per cell]
O 0.0005 0.5000 0.7818 [4 per cell]
O 0.1975 0.5000 0.5234 [4 per cell]
O 0.2042 0.3361 0.1676 [8 per cell]



# 8
ZrRu2ClO | PBE-GGA | optimized geometry

* E_tot: -6.900 eV per atom
* uncorrected formation energy: -0.119 eV/atom

abc: 3.8888 3.8888 5.2612
angles: 90.00 90.00 90.00
Space group P4/mmm (No. 123)
Symmetry-distinct sites (fractional):
Zr 0.0000 0.0000 0.0000 [1 per cell]
Ru 0.0000 0.5000 0.5000 [2 per cell]
Cl 0.5000 0.5000 0.0000 [1 per cell]
O 0.5000 0.5000 0.5000 [1 per cell]